Entry 1:
The following is a GGA-PBE calculation of a geometry-optimized TlCO2 structure, from Alexandria.

Calculated values
- size of the total moment (μB/f.u.) = 0.00
- formation energy (no corrections) (eV/atom) = 0.2786
- E above lowest polymorph (eV per atom) = 1.3381

a = 7.4593 Å, b = 7.4593 Å, c = 7.4593 Å
α = 90.00°, β = 90.00°, γ = 90.00°
Closest atoms and distances in Å follow each position.
Space group Fd-3m (No. 227, origin choice 2)
Symmetry-distinct sites (fractional):
Tl 0.1250 0.1250 0.1250 [8 per cell]  12 O 3.09, 4 Tl 3.23, 4 C 3.23
C 0.1250 0.1250 0.6250 [8 per cell]  4 O 1.61
O 0.0000 0.0000 0.5000 [16 per cell]  2 C 1.61


Entry 2:
The following is a GGA-PBE calculation of a geometry-optimized Tl2C2O5 structure, from Alexandria.

Calculated values
- size of the total moment (μB/f.u.) = 0.00
- formation energy (no corrections) (eV/atom) = -1.0819
- E above lowest polymorph (eV per atom) = 0.0000

a = 4.4758 Å, b = 5.4879 Å, c = 7.0303 Å
α = 73.83°, β = 86.67°, γ = 87.61°
Closest atoms and distances in Å follow each position.
Space group P-1 (No. 2)
Symmetry-distinct sites (fractional):
Tl 0.2403 0.3107 0.2778 [2 per cell]  5 O 2.76-3.02
C 0.2117 0.1262 0.8538 [2 per cell]  3 O 1.26-1.41
O 0.0000 0.0000 0.0000 [1 per cell]  2 C 1.41
O 0.2684 0.0301 0.7125 [2 per cell]  1 C 1.26
O 0.3148 0.3225 0.8825 [2 per cell]  1 C 1.26


Q: Which formula does entry 1 have?
A: TlCO2


Q: Which of these has the lowest E above lowest polymorph?
A: Tl2C2O5